[1]
## ZrPa3H (PBE)

Data for a geometry-optimized ZrPa3H structure.

```
ZrPa3H
1.0
4.7066 0.0000 0.0000
0.0000 4.7066 0.0000
0.0000 0.0000 4.7066
Zr Pa H
1 3 1
direct
0.0000 0.0000 0.0000
0.0000 0.5000 0.5000
0.5000 0.0000 0.5000
0.5000 0.5000 0.0000
0.5000 0.5000 0.5000
```

Output
spin magnetization = 0.000 μB per cell
calculated total energy = -8.0420 eV per atom

=====

[2]
## ZrPaH2 (PBE)

Data for a geometry-optimized ZrPaH2 structure.

```
ZrPaH2
1.0
1.6029 0.9255 5.9405
-1.6029 0.9255 5.9405
0.0000 -1.8509 5.9405
Zr Pa H
1 1 2
direct
0.0000 0.0000 0.0000
0.8259 0.8259 0.8259
0.3989 0.3989 0.3989
0.5942 0.5942 0.5942
```

Output
spin magnetization = 0.001 μB per cell
calculated total energy = -6.3563 eV per atom

=====

[3]
## Zr2PaH (PBE)

Data for a geometry-optimized Zr2PaH structure.

```
Zr2PaH
1.0
3.0120 0.0000 0.0000
0.0000 3.0120 0.0000
0.0000 0.0000 8.0647
Zr Pa H
2 1 1
direct
0.0000 0.0000 0.1838
0.0000 0.0000 0.8162
0.5000 0.5000 0.5000
0.5000 0.5000 0.0000
```

Output
spin magnetization = 0.000 μB per cell
calculated total energy = -7.2856 eV per atom

=====

What did the second record say?
## ZrPaH2 (PBE)

Data for a geometry-optimized ZrPaH2 structure.

```
ZrPaH2
1.0
1.6029 0.9255 5.9405
-1.6029 0.9255 5.9405
0.0000 -1.8509 5.9405
Zr Pa H
1 1 2
direct
0.0000 0.0000 0.0000
0.8259 0.8259 0.8259
0.3989 0.3989 0.3989
0.5942 0.5942 0.5942
```

Output
spin magnetization = 0.001 μB per cell
calculated total energy = -6.3563 eV per atom